# Cs3Tl7Te4

Crystalline Cs3Tl7Te4 at its relaxed geometry (PBE, the Alexandria database).

Lattice parameters (Å, degrees): 5.485 10.706 10.949 70.23 75.49 75.16
Fractional positions:
1 Te 0.127 0.088 0.657
2 Te 0.338 0.521 0.804
3 Te 0.873 0.912 0.343
4 Te 0.662 0.479 0.196
5 Cs 0.297 0.202 0.203
6 Cs 0.000 0.500 0.500
7 Cs 0.703 0.798 0.797
8 Tl 0.503 0.190 0.804
9 Tl 0.497 0.810 0.196
10 Tl 0.149 0.636 0.065
11 Tl 0.678 0.171 0.474
12 Tl 0.322 0.829 0.526
13 Tl 0.851 0.364 0.935
14 Tl 0.000 0.000 0.000

Output
Raw total energy (eV/atom): -2.7237
Crystal system: monoclinic
Magnetization (μB/f.u.): 0.00
Formation energy without anion corrections (eV per formula unit): -6.4
DOS at the Fermi energy (states/eV/cell): 5.519